Entry from the Alexandria database: K2Tl2Pt3 after structural relaxation (PBE).

Excess energy over the best structure of this formula in the dataset = 0.0 meV per atom
Formation enthalpy at 0 K = -0.18 eV/atom

Lattice parameters (Å, degrees): 7.0198 7.0198 8.9481 127.26 127.26 36.11
Fractional positions:
K 0.1971 0.1971 0.1381
K 0.8029 0.8029 0.8619
Tl 0.4860 0.4860 0.7082
Tl 0.5140 0.5140 0.2918
Pt 0.0000 0.0000 0.5000
Pt 0.2011 0.2011 0.5103
Pt 0.7989 0.7989 0.4897